## TbScRhAu (PBE-GGA)

Data for a relaxed TbScRhAu crystal.

Structure (POSCAR):
```
TbScRhAu
1.0
4.859 0.000 0.000
2.430 4.208 0.000
2.430 1.403 3.967
Sc Tb Au Rh
1 1 1 1
direct
0.750 0.750 0.750
0.250 0.250 0.250
0.000 0.000 0.000
0.500 0.500 0.500
```

Properties
ΔH_f (0 K)   -0.8008 eV/atom
Space group   F-43m, No. 216
Size of the total moment   0.000 μB/atom

---

## Li4U3CrSe8 (PBE-GGA)

Data for a relaxed Li4U3CrSe8 crystal.

Structure (POSCAR):
```
Li4U3CrSe8
1.0
-7.188 -2.127 -2.574
-1.760 -2.850 7.270
2.434 7.502 -0.793
Li U Cr Se
4 3 1 8
direct
0.500 0.000 0.000
0.500 0.000 0.500
0.000 0.000 0.000
0.000 0.000 0.500
0.500 0.500 0.000
0.500 0.500 0.500
0.000 0.500 0.500
0.000 0.500 0.000
0.244 0.751 0.007
0.244 0.751 0.488
0.245 0.235 0.490
0.764 0.751 0.007
0.236 0.249 0.993
0.755 0.765 0.510
0.756 0.249 0.512
0.756 0.249 0.993
```

Properties
Space group   R-3m, No. 166
Size of the total moment   0.750 μB/atom
Total DFT energy (no corrections)   -96.48 eV for the cell shown

---

## MnTcBr2 (PBE-GGA)

Data for a relaxed MnTcBr2 crystal.

Structure (POSCAR):
```
MnTcBr2
1.0
3.779 -0.062 -0.113
1.941 3.243 -0.113
-0.824 -0.458 8.112
Br Mn Tc
2 1 1
direct
0.924 0.924 0.885
0.159 0.159 0.360
0.554 0.554 0.691
0.864 0.864 0.564
```

Properties
Energy relative to the lowest polymorph listed for this composition   0.000 eV per atom
Space group   Cm, No. 8
Size of the total moment   0.505 μB/atom

---

## TiBrN2O (PBE-GGA)

Data for a relaxed TiBrN2O crystal.

Structure (POSCAR):
```
TiBrN2O
1.0
4.167 0.000 0.000
0.000 4.167 0.000
0.000 0.000 3.723
N O Br Ti
2 1 1 1
direct
0.000 0.500 0.000
0.500 0.000 0.000
0.000 0.000 0.500
0.500 0.500 0.500
0.000 0.000 0.000
```

Properties
Space group   P4/mmm, No. 123
Size of the total moment   0.000 μB/atom
Total DFT energy (no corrections)   -29.35 eV for the cell shown

---

## Nd4DyY2Tm2 (PBE-GGA)

Data for a relaxed Nd4DyY2Tm2 crystal.

Structure (POSCAR):
```
Nd4DyY2Tm2
1.0
5.087 0.000 0.000
-2.544 7.644 0.028
0.000 -2.562 7.622
Nd Dy Y Tm
4 1 2 2
direct
0.778 0.555 0.670
0.222 0.445 0.330
0.554 0.109 0.329
0.446 0.891 0.671
0.000 0.000 0.000
0.888 0.777 0.330
0.112 0.223 0.670
0.333 0.665 0.000
0.667 0.335 0.000
```

Properties
ΔH_f (0 K)   0.0223 eV/atom
Space group   C2/m, No. 12
Size of the total moment   0.000 μB/atom

---

## SrSi3Pt3 (PBE-GGA)

Data for a relaxed SrSi3Pt3 crystal.

Structure (POSCAR):
```
SrSi3Pt3
1.0
6.710 0.000 0.000
3.355 5.811 0.000
3.355 1.937 7.300
Sr Si Pt
2 6 6
direct
0.336 0.336 0.991
0.664 0.664 0.009
0.533 0.718 0.640
0.718 0.109 0.640
0.109 0.533 0.640
0.891 0.467 0.360
0.282 0.891 0.360
0.467 0.282 0.360
0.149 0.655 0.305
0.891 0.149 0.305
0.655 0.891 0.305
0.345 0.109 0.695
0.109 0.851 0.695
0.851 0.345 0.695
```

Properties
Energy relative to the lowest polymorph listed for this composition   0.075 eV per atom
Space group   R-3, No. 148
Size of the total moment   0.000 μB/atom

---

## RbSbN (PBE-GGA)

Data for a relaxed RbSbN crystal.

Structure (POSCAR):
```
RbSbN
1.0
4.295 -0.461 -3.512
0.588 3.379 -2.858
-10.032 -1.378 24.984
Rb Sb N
2 2 2
direct
0.691 0.617 0.523
0.613 0.671 0.043
0.466 0.892 0.824
0.837 0.396 0.742
0.807 0.788 0.317
0.496 0.499 0.250
```

Properties
Energy relative to the lowest polymorph listed for this composition   0.000 eV per atom
Space group   P-1, No. 2
Size of the total moment   0.085 μB/atom

---

## Tl2NiW (PBE-GGA)

Data for a relaxed Tl2NiW crystal.

Structure (POSCAR):
```
Tl2NiW
1.0
-1.689 1.507 2.015
-0.676 -2.929 -0.385
5.892 -2.227 6.604
Ni Tl W
1 2 1
direct
0.500 0.500 0.750
0.000 0.000 0.980
0.000 0.000 0.520
0.500 0.500 0.250
```

Properties
Energy relative to the lowest polymorph listed for this composition   0.290 eV per atom
ΔH_f (0 K)   0.8125 eV/atom
Space group   Cmmm, No. 65
Size of the total moment   0.000 μB/atom

---

## Sc2HgSe (PBE-GGA)

Data for a relaxed Sc2HgSe crystal.

Structure (POSCAR):
```
Sc2HgSe
1.0
5.001 0.000 0.000
0.000 4.980 0.000
0.000 0.000 3.378
Hg Sc Se
1 2 1
direct
0.000 0.500 0.500
0.000 0.000 0.000
0.500 0.500 0.000
0.500 0.000 0.500
```

Properties
Energy relative to the lowest polymorph listed for this composition   0.289 eV per atom
Space group   Pmmm, No. 47
Size of the total moment   0.208 μB/atom

---

## Ce7AlHg3 (PBE-GGA)

Data for a relaxed Ce7AlHg3 crystal.

Structure (POSCAR):
```
Ce7AlHg3
1.0
5.639 -0.318 -0.407
-2.859 7.521 0.868
-2.859 -0.981 7.508
Ce Al Hg
7 1 3
direct
0.223 0.205 0.205
0.291 0.071 0.569
0.709 0.431 0.929
0.291 0.569 0.071
0.000 0.500 0.500
0.709 0.929 0.431
0.777 0.795 0.795
0.500 0.500 0.500
0.000 0.781 0.219
0.500 0.000 0.000
0.000 0.219 0.781
```

Properties
ΔH_f (0 K)   -0.0853 eV/atom
Space group   C2/m, No. 12
Size of the total moment   0.474 μB/atom